No. 1
The following is a DFT calculation (PBE-GGA) of a geometry-optimized BaPd structure.

abc: 6.4815 6.4815 6.3859
angles: 90.00 90.00 90.00
Space group P4_2/mnm (No. 136)
Asymmetric unit:
Ba: 0.2044 0.2044 0.0000 (multiplicity 4)
Pd: 0.1681 0.1681 0.5000 (multiplicity 4)

Crystal system: tetragonal
Calculated formation energy in eV/atom: -0.40

***

No. 2
The following is a DFT calculation (PBE-GGA) of a geometry-optimized PRu3 structure.

abc: 4.1334 5.5355 4.7159
angles: 90.00 90.00 90.00
Space group Pmmn (No. 59, origin choice 2)
Asymmetric unit:
P: 0.2500 0.2500 0.1394 (multiplicity 2)
Ru: 0.2500 0.5124 0.6645 (multiplicity 4)
Ru: 0.2500 0.7500 0.1585 (multiplicity 2)

Crystal system: orthorhombic
Calculated formation energy in eV/atom: 0.08

***

No. 3
The following is a DFT calculation (PBE-GGA) of a geometry-optimized Rh2AuCl structure.

abc: 2.8373 4.8008 9.6594
angles: 90.00 90.00 90.00
Space group Imm2 (No. 44)
Asymmetric unit:
Rh: 0.0000 0.0000 0.0000 (multiplicity 2)
Rh: 0.0000 0.5000 0.2700 (multiplicity 2)
Au: 0.0000 0.5000 0.7662 (multiplicity 2)
Cl: 0.0000 0.0000 0.5502 (multiplicity 2)

Crystal system: orthorhombic
Raw formation energy in meV/atom: 459

***

No. 4
The following is a DFT calculation (PBE-GGA) of a geometry-optimized La2BeInS structure.

abc: 5.9977 5.9977 4.2828
angles: 90.00 90.00 90.00
Space group P4/mmm (No. 123)
Asymmetric unit:
La: 0.0000 0.5000 0.0000 (multiplicity 2)
Be: 0.0000 0.0000 0.5000 (multiplicity 1)
In: 0.0000 0.0000 0.0000 (multiplicity 1)
S: 0.5000 0.5000 0.5000 (multiplicity 1)

Crystal system: tetragonal
Raw formation energy in meV/atom: 7

***

Looking at magnetic moment for the records above, in order, we have 0.00 0.00 0.81 0.72 μB/cell.
Looking at DFT total energy for the records above, in order, we have -3.958 -8.227 -4.498 -4.082 eV per atom.